Material: UVSb3
Method: DFT, PBE
State: relaxed

Results
Uncorrected formation energy: -216 meV per atom

Geometry as POSCAR:
```
UVSb3
1.0
6.008 0.000 0.000
0.000 6.300 0.000
0.000 0.000 12.397
Sb U V
12 4 4
direct
0.500 0.750 0.499 Sb
0.250 0.984 0.236 Sb
0.750 0.901 0.060 Sb
0.250 0.099 0.940 Sb
0.250 0.599 0.060 Sb
0.750 0.401 0.940 Sb
0.000 0.250 0.501 Sb
0.750 0.016 0.764 Sb
0.750 0.516 0.236 Sb
0.000 0.750 0.499 Sb
0.250 0.484 0.764 Sb
0.500 0.250 0.501 Sb
0.250 0.490 0.303 U
0.750 0.510 0.697 U
0.750 0.010 0.303 U
0.250 0.990 0.697 U
0.500 0.250 0.111 V
0.000 0.250 0.111 V
0.500 0.750 0.889 V
0.000 0.750 0.889 V
```


Material: MgRe2Bi
Method: DFT, PBE
State: relaxed

Results
ΔE_f: 0.98 eV per atom

Geometry as POSCAR:
```
MgRe2Bi
1.0
2.963 -1.983 2.962
-1.592 -2.728 3.393
0.732 -4.574 -0.167
Re Bi Mg
2 1 1
direct
0.750 0.750 0.750 Re
0.250 0.250 0.250 Re
0.500 0.500 0.500 Bi
0.000 0.000 0.000 Mg
```